(1)
# ScRu GGA-PBEsol relaxed
# Uncorrected energy = -17.7 eV/cell
# Energy of formation = -46.5 kJ per mole of atoms
data_ScRu
_cell_length_a 3.164
_cell_length_b 3.164
_cell_length_c 3.164
_cell_angle_alpha 90.00
_cell_angle_beta 90.00
_cell_angle_gamma 90.00
_symmetry_space_group_name_H-M 'P m -3 m'
_symmetry_Int_Tables_number 221
_symmetry_space_group_name_Hall '-P 4 2 3'
loop_
_atom_site_label
_atom_site_type_symbol
_atom_site_fract_x
_atom_site_fract_y
_atom_site_fract_z
Sc1 Sc 0.000 0.000 0.000
Ru1 Ru 0.500 0.500 0.500

---

(2)
# ScRu GGA-PBEsol relaxed
# Uncorrected energy = -56.6 eV/cell
# Energy of formation = 127.1 kJ per mole of atoms
data_ScRu
_cell_length_a 5.614
_cell_length_b 5.614
_cell_length_c 5.614
_cell_angle_alpha 90.00
_cell_angle_beta 90.00
_cell_angle_gamma 90.00
_symmetry_space_group_name_H-M 'F -4 3 m'
_symmetry_Int_Tables_number 216
_symmetry_space_group_name_Hall 'F -4 2 3'
loop_
_atom_site_label
_atom_site_type_symbol
_atom_site_fract_x
_atom_site_fract_y
_atom_site_fract_z
Sc1 Sc 0.000 0.000 0.000
Ru1 Ru 0.250 0.250 0.750

---

(3)
# Sc3Ru GGA-PBEsol relaxed
# Uncorrected energy = -31.1 eV/cell
# Energy of formation = -27.3 kJ per mole of atoms
data_Sc3Ru
_cell_length_a 3.197
_cell_length_b 3.197
_cell_length_c 7.843
_cell_angle_alpha 90.00
_cell_angle_beta 90.00
_cell_angle_gamma 90.00
_symmetry_space_group_name_H-M 'P 4/m m m'
_symmetry_Int_Tables_number 123
_symmetry_space_group_name_Hall '-P 4 2'
loop_
_atom_site_label
_atom_site_type_symbol
_atom_site_fract_x
_atom_site_fract_y
_atom_site_fract_z
Sc1 Sc 0.000 0.000 0.000
Sc2 Sc 0.500 0.500 0.307
Ru1 Ru 0.000 0.000 0.500

---

(4)
# Sc3Ru GGA-PBEsol relaxed
# Uncorrected energy = -30.4 eV/cell
# Energy of formation = -10.5 kJ per mole of atoms
data_Sc3Ru
_cell_length_a 4.593
_cell_length_b 4.593
_cell_length_c 3.539
_cell_angle_alpha 90.00
_cell_angle_beta 90.00
_cell_angle_gamma 90.00
_symmetry_space_group_name_H-M 'P 4/m m m'
_symmetry_Int_Tables_number 123
_symmetry_space_group_name_Hall '-P 4 2'
loop_
_atom_site_label
_atom_site_type_symbol
_atom_site_fract_x
_atom_site_fract_y
_atom_site_fract_z
Sc1 Sc 0.000 0.000 0.000
Sc2 Sc 0.000 0.500 0.500
Ru1 Ru 0.500 0.500 0.000

---

(5)
# Sc3Ru2 GGA-PBEsol relaxed
# Uncorrected energy = -41.7 eV/cell
# Energy of formation = -29.7 kJ per mole of atoms
data_Sc3Ru2
_cell_length_a 4.4887
_cell_length_b 4.4887
_cell_length_c 5.3533
_cell_angle_alpha 90.00
_cell_angle_beta 90.00
_cell_angle_gamma 120.00
_symmetry_space_group_name_H-M 'P -3 m 1'
_symmetry_Int_Tables_number 164
_symmetry_space_group_name_Hall '-P 3 2"'
loop_
_atom_site_label
_atom_site_type_symbol
_atom_site_fract_x
_atom_site_fract_y
_atom_site_fract_z
Sc1 Sc 0.0000 0.0000 0.0000
Sc2 Sc 0.3333 0.6667 0.3448
Ru1 Ru 0.3333 0.6667 0.8455

---

(6)
# ScRu GGA-PBEsol relaxed
# Uncorrected energy = -33.9 eV/cell
# Energy of formation = -8.0 kJ per mole of atoms
data_ScRu
_cell_length_a 2.892
_cell_length_b 2.892
_cell_length_c 8.361
_cell_angle_alpha 90.00
_cell_angle_beta 90.00
_cell_angle_gamma 90.00
_symmetry_space_group_name_H-M 'P 4/n m m'
_symmetry_Int_Tables_number 129
loop_
_symmetry_equiv_pos_as_xyz
'x,y,z'
'-x,-y,-z'
'-y+1/2,x,z'
'y+1/2,-x,-z'
'-x+1/2,-y+1/2,z'
'x+1/2,y+1/2,-z'
'y,-x+1/2,z'
'-y,x+1/2,-z'
'x+1/2,-y,-z'
'-x+1/2,y,z'
'-y,-x,-z'
'y,x,z'
'-x,y+1/2,-z'
'x,-y+1/2,z'
'y+1/2,x+1/2,-z'
'-y+1/2,-x+1/2,z'
loop_
_atom_site_label
_atom_site_type_symbol
_atom_site_fract_x
_atom_site_fract_y
_atom_site_fract_z
Sc1 Sc 0.250 0.250 0.171
Ru1 Ru 0.250 0.250 0.594

---

(7)
# Sc3Ru GGA-PBEsol relaxed
# Uncorrected energy = -125.4 eV/cell
# Energy of formation = -33.0 kJ per mole of atoms
data_Sc3Ru
_cell_length_a 6.783
_cell_length_b 8.315
_cell_length_c 5.795
_cell_angle_alpha 90.00
_cell_angle_beta 90.00
_cell_angle_gamma 90.00
_symmetry_space_group_name_H-M 'P n m a'
_symmetry_Int_Tables_number 62
_symmetry_space_group_name_Hall '-P 2ac 2n'
loop_
_atom_site_label
_atom_site_type_symbol
_atom_site_fract_x
_atom_site_fract_y
_atom_site_fract_z
Sc1 Sc 0.037 0.250 0.116
Sc2 Sc 0.180 0.060 0.667
Ru1 Ru 0.114 0.750 0.465

---

(8)
# Sc3Ru GGA-PBEsol relaxed
# Uncorrected energy = -62.6 eV/cell
# Energy of formation = -31.4 kJ per mole of atoms
data_Sc3Ru
_cell_length_a 3.287
_cell_length_b 4.805
_cell_length_c 9.873
_cell_angle_alpha 90.00
_cell_angle_beta 90.00
_cell_angle_gamma 90.00
_symmetry_space_group_name_H-M 'I m m m'
_symmetry_Int_Tables_number 71
_symmetry_space_group_name_Hall '-I 2 2'
loop_
_atom_site_label
_atom_site_type_symbol
_atom_site_fract_x
_atom_site_fract_y
_atom_site_fract_z
Sc1 Sc 0.000 0.000 0.000
Sc2 Sc 0.000 0.500 0.205
Ru1 Ru 0.000 0.000 0.500

---

(9)
# ScRuSe2 GGA-PBEsol relaxed
# E above lowest polymorph = 0.0 kJ/mol of formula units
# ΔE_f (raw) = -0.605 eV per atom
# Uncorrected energy = -53.8 eV/cell
data_ScRuSe2
_cell_length_a 4.047
_cell_length_b 4.998
_cell_length_c 6.727
_cell_angle_alpha 90.00
_cell_angle_beta 90.00
_cell_angle_gamma 90.00
_symmetry_space_group_name_H-M 'I m m m'
_symmetry_Int_Tables_number 71
_symmetry_space_group_name_Hall '-I 2 2'
loop_
_atom_site_label
_atom_site_type_symbol
_atom_site_fract_x
_atom_site_fract_y
_atom_site_fract_z
Sc1 Sc 0.000 0.000 0.000
Ru1 Ru 0.000 0.000 0.500
Se1 Se 0.000 0.500 0.217

---

(10)
# Sc2RuSe GGA-PBEsol relaxed
# ΔE_f (raw) = -0.280 eV per atom
# Uncorrected energy = -113.4 eV/cell
data_Sc2RuSe
_cell_length_a 6.439
_cell_length_b 6.439
_cell_length_c 6.439
_cell_angle_alpha 90.00
_cell_angle_beta 90.00
_cell_angle_gamma 90.00
_symmetry_space_group_name_H-M 'F -4 3 m'
_symmetry_Int_Tables_number 216
_symmetry_space_group_name_Hall 'F -4 2 3'
loop_
_atom_site_label
_atom_site_type_symbol
_atom_site_fract_x
_atom_site_fract_y
_atom_site_fract_z
Sc1 Sc 0.000 0.000 0.000
Sc2 Sc 0.250 0.250 0.250
Ru1 Ru 0.250 0.250 0.750
Se1 Se 0.000 0.000 0.500

---

(11)
# Sc2RuSe GGA-PBEsol relaxed
# ΔE_f (raw) = -0.265 eV per atom
# Uncorrected energy = -84.9 eV/cell
data_Sc2RuSe
_cell_length_a 3.3047
_cell_length_b 3.3047
_cell_length_c 26.2684
_cell_angle_alpha 90.00
_cell_angle_beta 90.00
_cell_angle_gamma 120.00
_symmetry_space_group_name_H-M 'R -3 m'
_symmetry_Int_Tables_number 166
_symmetry_space_group_name_Hall '-R 3 2"'
loop_
_atom_site_label
_atom_site_type_symbol
_atom_site_fract_x
_atom_site_fract_y
_atom_site_fract_z
Sc1 Sc 0.0000 0.0000 0.0981
Ru1 Ru 0.0000 0.0000 0.5000
Se1 Se 0.0000 0.0000 0.0000

---

(12)
# ScRuSe2 GGA-PBEsol relaxed
# E above lowest polymorph = 71.1 kJ/mol of formula units
# ΔE_f (raw) = -0.421 eV per atom
# Uncorrected energy = -52.3 eV/cell
data_ScRuSe2
_cell_length_a 3.690
_cell_length_b 3.690
_cell_length_c 9.931
_cell_angle_alpha 90.00
_cell_angle_beta 90.00
_cell_angle_gamma 90.00
_symmetry_space_group_name_H-M 'I -4 m 2'
_symmetry_Int_Tables_number 119
_symmetry_space_group_name_Hall 'I -4 -2'
loop_
_atom_site_label
_atom_site_type_symbol
_atom_site_fract_x
_atom_site_fract_y
_atom_site_fract_z
Sc1 Sc 0.000 0.000 0.000
Ru1 Ru 0.000 0.500 0.750
Se1 Se 0.000 0.000 0.500
Se2 Se 0.000 0.500 0.250

---

- Which of these has the lowest uncorrected energy?
  number 7